Entry 1:
Density functional theory data (PBE) for a geometry-optimized MgZr2Cd structure.

```
4
Lattice="-1.802 2.311 5.237 1.802 -2.311 5.237 1.802 2.311 -5.237" Properties=species:S:1:pos:R:3 pbc="T T T"
Mg 0.000 0.000 0.000
Zr 1.802 0.000 2.673
Zr 0.000 2.311 2.564
Cd 0.000 0.000 5.237
```

Results
Symmetry: Immm, No. 71
Mass density, g cm⁻³: 6.08
Final energy, eV per cell: -19.6


Entry 2:
Density functional theory data (PBE) for a geometry-optimized CoCuHg structure.

```
3
Lattice="4.309 0.000 0.000 -2.155 3.732 0.000 0.000 0.000 2.778" Properties=species:S:1:pos:R:3 pbc="T T T"
Co 0.000 0.000 0.000
Cu 0.000 2.488 0.531
Hg 2.155 1.244 1.606
```

Results
Symmetry: P3m1, No. 156
Mass density, g cm⁻³: 12.01
Relative energy among the computed polymorphs, eV per atom: 0.085


Entry 3:
Density functional theory data (PBE) for a geometry-optimized Ac2AgSb structure.

```
4
Lattice="0.000 4.025 4.025 4.025 0.000 4.025 4.025 4.025 0.000" Properties=species:S:1:pos:R:3 pbc="T T T"
Ac 2.012 2.012 2.012
Ac 6.037 6.037 6.037
Ag 0.000 0.000 0.000
Sb 4.025 4.025 4.025
```

Results
Formation energy (no corrections), eV/f.u.: -2.26
Symmetry: Fm-3m, No. 225
Mass density, g cm⁻³: 8.71
Relative energy among the computed polymorphs, eV per atom: 0.063


Entry 4:
Density functional theory data (PBE) for a geometry-optimized Tm4SnTe3 structure.

```
8
Lattice="4.324 -6.122 0.000 4.324 6.122 0.000 0.000 0.000 4.332" Properties=species:S:1:pos:R:3 pbc="T T T"
Tm 2.054 0.000 2.166
Tm 4.324 3.153 0.000
Tm 4.324 -3.153 0.000
Tm 6.594 0.000 2.166
Sn 0.000 0.000 0.000
Te 2.162 3.061 2.166
Te 2.162 -3.061 2.166
Te 4.324 0.000 0.000
```

Results
Formation energy (no corrections), eV/f.u.: -8.86
Symmetry: Cmmm, No. 65
Mass density, g cm⁻³: 8.52


Entry 5:
Density functional theory data (PBE) for a geometry-optimized CaGa4Pd2Rh structure.

```
8
Lattice="2.134 1.232 9.052 -2.134 1.232 9.052 0.000 -2.464 9.052" Properties=species:S:1:pos:R:3 pbc="T T T"
Ca 0.000 0.000 0.000
Ga 0.000 0.000 3.621
Ga 0.000 0.000 10.903
Ga 0.000 0.000 16.253
Ga 0.000 0.000 23.535
Pd 0.000 0.000 6.372
Pd 0.000 0.000 20.784
Rh 0.000 0.000 13.578
```

Results
Symmetry: R-3m, No. 166
Mass density, g cm⁻³: 7.38
Final energy, eV per cell: -36.7


Entry 6:
Density functional theory data (PBE) for a geometry-optimized Ca2PmLu structure.

```
4
Lattice="0.000 4.136 4.136 4.136 0.000 4.136 4.136 4.136 0.000" Properties=species:S:1:pos:R:3 pbc="T T T"
Ca 2.068 2.068 2.068
Ca 6.203 6.203 6.203
Pm 0.000 0.000 0.000
Lu 4.136 4.136 4.136
```

Results
Symmetry: Fm-3m, No. 225
Mass density, g cm⁻³: 4.70
Relative energy among the computed polymorphs, eV per atom: 0.000


Entry 7:
Density functional theory data (PBE) for a geometry-optimized AcTbPm2Tm structure.

```
10
Lattice="4.235 -6.040 0.000 4.235 6.040 0.000 0.000 0.000 7.346" Properties=species:S:1:pos:R:3 pbc="T T T"
Ac 4.235 3.056 5.510
Ac 4.235 -3.056 1.837
Tb 4.235 5.502 1.837
Tb 4.235 -5.502 5.510
Pm 2.588 0.000 0.000
Pm 2.588 0.000 3.673
Pm 5.882 0.000 0.000
Pm 5.882 0.000 3.673
Tm 4.235 2.375 1.837
Tm 4.235 -2.375 5.510
```

Results
Symmetry: Cmcm, No. 63
Mass density, g cm⁻³: 7.47
Final energy, eV per cell: -41.9


Entry 8:
Density functional theory data (PBE) for a geometry-optimized K2AgHg structure.

```
4
Lattice="3.975 0.000 0.000 0.000 3.975 0.000 0.000 0.000 9.779" Properties=species:S:1:pos:R:3 pbc="T T T"
K 0.000 0.000 0.000
K 1.988 1.988 4.082
Ag 0.000 0.000 6.384
Hg 1.988 1.988 7.521
```

Results
Symmetry: P4mm, No. 99
Mass density, g cm⁻³: 4.15
Final energy, eV per cell: -5.5


Entry 9:
Density functional theory data (PBE) for a geometry-optimized SrCd6Hg2 structure.

```
9
Lattice="7.681 -4.466 0.000 7.681 4.466 0.000 -0.784 0.000 3.387" Properties=species:S:1:pos:R:3 pbc="T T T"
Sr 0.000 0.000 0.000
Cd 2.213 1.535 2.294
Cd 7.289 1.506 1.693
Cd 2.213 -1.535 2.294
Cd 12.364 1.535 1.093
Cd 7.289 -1.506 1.693
Cd 12.364 -1.535 1.093
Hg 4.787 0.000 2.902
Hg 9.791 0.000 0.485
```

Results
Symmetry: C2/m, No. 12
Mass density, g cm⁻³: 8.31
Relative energy among the computed polymorphs, eV per atom: 0.098


Entry 10:
Density functional theory data (PBE) for a geometry-optimized ReBP2Cl structure.

```
5
Lattice="4.534 0.000 0.000 0.000 4.534 0.000 0.000 0.000 5.251" Properties=species:S:1:pos:R:3 pbc="T T T"
Re 0.000 0.000 0.000
B 2.267 2.267 2.625
P 0.000 2.267 0.000
P 2.267 0.000 0.000
Cl 0.000 0.000 2.625
```

Results
Formation energy (no corrections), eV/f.u.: 6.27
Symmetry: P4/mmm, No. 123
Mass density, g cm⁻³: 4.53
Relative energy among the computed polymorphs, eV per atom: 0.004


Entry 11:
Density functional theory data (PBE) for a geometry-optimized CeThAu2 structure.

```
4
Lattice="2.020 1.166 8.019 -2.020 1.166 8.019 0.000 -2.333 8.019" Properties=species:S:1:pos:R:3 pbc="T T T"
Ce 0.000 0.000 0.000
Th 0.000 0.000 12.028
Au 0.000 0.000 5.975
Au 0.000 0.000 18.081
```

Results
Symmetry: R-3m, No. 166
Mass density, g cm⁻³: 11.22
Final energy, eV per cell: -21.8


Entry 12:
Density functional theory data (PBE) for a geometry-optimized Ca4AgTe structure.

```
6
Lattice="0.000 4.722 4.722 4.722 0.000 4.722 4.722 4.722 0.000" Properties=species:S:1:pos:R:3 pbc="T T T"
Ca 1.176 1.176 1.176
Ca 3.546 3.546 1.176
Ca 3.546 1.176 3.546
Ca 1.176 3.546 3.546
Ag 4.722 4.722 4.722
Te 7.083 7.083 7.083
```

Results
Formation energy (no corrections), eV/f.u.: 0.55
Symmetry: F-43m, No. 216
Mass density, g cm⁻³: 3.12


Entry 13:
Density functional theory data (PBE) for a geometry-optimized TmNiAu structure.

```
3
Lattice="4.367 0.000 0.000 -2.184 3.782 0.000 0.000 0.000 3.493" Properties=species:S:1:pos:R:3 pbc="T T T"
Tm 0.000 0.000 0.000
Ni 2.184 1.261 1.746
Au 0.000 2.521 1.746
```

Results
Symmetry: P-6m2, No. 187
Mass density, g cm⁻³: 12.22
Final energy, eV per cell: -15.2


Entry 14:
Density functional theory data (PBE) for a geometry-optimized La3CeHo2Te6 structure.

```
12
Lattice="3.864 -6.718 0.000 3.864 6.718 0.000 -2.596 0.000 7.374" Properties=species:S:1:pos:R:3 pbc="T T T"
La 0.000 0.000 0.000
La 3.864 2.183 0.000
La 3.864 -2.183 0.000
Ce 2.566 0.000 3.687
Ho 2.566 4.467 3.687
Ho 2.566 -4.467 3.687
Te 1.252 2.292 1.938
Te -0.080 0.000 5.402
Te 1.252 -2.292 1.938
Te 3.880 2.292 5.436
Te 5.212 0.000 1.972
Te 3.880 -2.292 5.436
```

Results
Formation energy (no corrections), eV/f.u.: -17.34
Symmetry: C2/m, No. 12
Mass density, g cm⁻³: 7.17


Entry 15:
Density functional theory data (PBE) for a geometry-optimized TlFe2Co structure.

```
4
Lattice="-1.921 1.962 3.736 1.921 -1.962 3.736 1.921 1.962 -3.736" Properties=species:S:1:pos:R:3 pbc="T T T"
Tl 0.000 0.000 0.000
Fe 0.000 0.000 3.715
Fe 0.000 1.962 1.850
Co 1.921 0.000 1.882
```

Results
Symmetry: Imm2, No. 44
Mass density, g cm⁻³: 11.06
Final energy, eV per cell: -24.7


Entry 16:
Density functional theory data (PBE) for a geometry-optimized K2SmSbO6 structure.

```
10
Lattice="0.000 4.314 4.314 4.314 0.000 4.314 4.314 4.314 0.000" Properties=species:S:1:pos:R:3 pbc="T T T"
K 2.157 2.157 2.157
K 6.471 6.471 6.471
Sm 0.000 0.000 0.000
Sb 4.314 4.314 4.314
O 4.314 4.314 2.316
O 4.314 2.316 4.314
O 6.311 4.314 4.314
O 2.316 4.314 4.314
O 4.314 6.311 4.314
O 4.314 4.314 6.311
```

Results
Formation energy (no corrections), eV/f.u.: -18.04
Symmetry: Fm-3m, No. 225
Mass density, g cm⁻³: 4.62


Entry 17:
Density functional theory data (PBE) for a geometry-optimized Ti6GeN structure.

```
8
Lattice="3.938 2.274 2.296 -3.938 2.274 2.296 0.000 -4.547 2.296" Properties=species:S:1:pos:R:3 pbc="T T T"
Ti 0.000 -1.771 2.404
Ti -1.533 0.885 2.404
Ti -1.533 -0.885 4.484
Ti 1.533 0.885 2.404
Ti 1.533 -0.885 4.484
Ti 0.000 1.771 4.484
Ge 0.000 0.000 0.000
N 0.000 0.000 3.444
```

Results
Formation energy (no corrections), eV/f.u.: -5.15
Symmetry: R-3m, No. 166
Mass density, g cm⁻³: 5.03


Entry 18:
Density functional theory data (PBE) for a geometry-optimized AcTlGaGe structure.

```
4
Lattice="0.000 3.781 3.781 3.781 0.000 3.781 3.781 3.781 0.000" Properties=species:S:1:pos:R:3 pbc="T T T"
Ac 0.000 0.000 0.000
Tl 3.781 3.781 3.781
Ga 1.891 1.891 1.891
Ge 5.672 5.672 5.672
```

Results
Symmetry: F-43m, No. 216
Mass density, g cm⁻³: 8.81
Final energy, eV per cell: -14.9


Entry 19:
Density functional theory data (PBE) for a geometry-optimized AcPIr structure.

```
3
Lattice="4.185 0.000 0.000 -2.092 3.624 0.000 0.000 0.000 4.445" Properties=species:S:1:pos:R:3 pbc="T T T"
Ac 0.000 0.000 0.000
P 0.000 2.416 2.222
Ir 2.092 1.208 2.222
```

Results
Symmetry: P-6m2, No. 187
Mass density, g cm⁻³: 11.09
Relative energy among the computed polymorphs, eV per atom: 0.072


Entry 20:
Density functional theory data (PBE) for a geometry-optimized PmPaReRh structure.

```
4
Lattice="0.000 3.484 3.484 3.484 0.000 3.484 3.484 3.484 0.000" Properties=species:S:1:pos:R:3 pbc="T T T"
Pm 0.000 0.000 0.000
Pa 3.484 3.484 3.484
Re 1.742 1.742 1.742
Rh 5.227 5.227 5.227
```

Results
Symmetry: F-43m, No. 216
Mass density, g cm⁻³: 13.05
Final energy, eV per cell: -34.7